1.
DFT (GGA-PBE) results for a relaxed structure of NaScTi.

Cell and atoms, written as POSCAR:
```
NaScTi
1.0
-3.8968 2.1944 1.7096
3.5793 -1.1706 2.9567
4.2049 8.7375 -1.6311
Sc Ti Na
2 2 2
direct
0.0000 0.0000 0.7500
0.0000 0.0000 0.2500
0.0000 0.0000 0.5000
0.0000 0.0000 0.0000
0.3333 0.6667 0.2500
0.6667 0.3333 0.7500
```



2.
DFT (GGA-PBE) results for a relaxed structure of NaScTi.

Cell and atoms, written as POSCAR:
```
NaScTi
1.0
-4.7384 1.4746 -1.9364
0.6495 -4.8880 2.0154
-0.7574 0.9672 2.5899
Ti Sc Na
1 1 1
direct
0.3333 0.6667 0.0000
0.0000 0.0000 0.0000
0.6667 0.3333 0.5000
```



no.,ΔE to the lowest computed polymorph (eV per atom),calculated formation energy (eV per atom)
1,1.717,1.83
2,0.559,0.67